1.
! PBE RuCl4F, optimized geometry; values from VASP
&SYSTEM
  ibrav = 0, nat = 12, ntyp = 3
/
ATOMIC_SPECIES
Ru 101.07 Ru.upf
Cl 35.45 Cl.upf
F 19.00 F.upf
ATOMIC_POSITIONS crystal
Ru 0.3743 0.1243 0.2500
Ru 0.6257 0.8757 0.7500
Cl 0.2551 0.2352 0.4801
Cl 0.2551 0.7751 0.0199
Cl 0.2651 0.2438 0.0213
Cl 0.2775 0.7562 0.5213
Cl 0.7225 0.2438 0.4787
Cl 0.7349 0.7562 0.9787
Cl 0.7449 0.2249 0.9801
Cl 0.7449 0.7648 0.5199
F 0.1242 0.3742 0.7500
F 0.8758 0.6258 0.2500
CELL_PARAMETERS angstrom
-3.8896 3.9088 5.1987
3.8896 -3.9088 5.1987
3.8896 3.9088 -5.1987
! Calculated density ... 2.75 Mg/m³
! Formation energy from raw total energies ... -2.1 eV per formula unit
! SG ... Imma, No. 74

2.
! PBE GeIr, optimized geometry; values from VASP
&SYSTEM
  ibrav = 0, nat = 16, ntyp = 2
/
ATOMIC_SPECIES
Ge 72.64 Ge.upf
Ir 192.22 Ir.upf
ATOMIC_POSITIONS crystal
Ge 0.0168 0.1989 0.1782
Ge 0.0205 0.1543 0.6182
Ge 0.4795 0.8457 0.1182
Ge 0.4832 0.8010 0.6782
Ge 0.5168 0.3010 0.8218
Ge 0.5205 0.3457 0.3818
Ge 0.9795 0.6543 0.8818
Ge 0.9832 0.6990 0.3218
Ir 0.0214 0.8083 0.6035
Ir 0.2349 0.5484 0.1169
Ir 0.2651 0.4516 0.6169
Ir 0.4786 0.1917 0.1035
Ir 0.5214 0.6917 0.3965
Ir 0.7349 0.9516 0.8831
Ir 0.7651 0.0484 0.3831
Ir 0.9786 0.3083 0.8965
CELL_PARAMETERS angstrom
5.0773 0.0000 0.0000
0.0000 7.0485 0.0000
0.0000 0.0000 8.1672
! Calculated density ... 12.04 Mg/m³
! Energy relative to the elements ... -15.5 kJ per mole of atoms
! SG ... P2_12_12_1, No. 19

3.
! PBE AsCl4F, optimized geometry; values from VASP
&SYSTEM
  ibrav = 0, nat = 6, ntyp = 3
/
ATOMIC_SPECIES
As 74.92 As.upf
Cl 35.45 Cl.upf
F 19.00 F.upf
ATOMIC_POSITIONS crystal
As 0.0000 0.0000 0.0000
Cl 0.0137 0.8679 0.2836
Cl 0.2350 0.8200 0.8422
Cl 0.3065 0.3810 0.2296
Cl 0.8261 0.1173 0.5487
F 0.7024 0.2838 0.7385
CELL_PARAMETERS angstrom
5.6791 0.0000 0.0000
-1.8964 6.0921 0.0000
-1.4599 -2.9948 5.5640
! Calculated density ... 2.03 Mg/m³
! Formation energy from raw total energies ... -3.6 eV per formula unit
! SG ... P1, No. 1

4.
! PBE SeN2F, optimized geometry; values from VASP
&SYSTEM
  ibrav = 0, nat = 8, ntyp = 3
/
ATOMIC_SPECIES
Se 78.96 Se.upf
N 14.01 N.upf
F 19.00 F.upf
ATOMIC_POSITIONS crystal
Se 0.0000 0.0000 0.0000
Se 0.7500 0.2500 0.5000
N 0.0377 0.6250 0.9127
N 0.3750 0.2877 0.4127
N 0.7123 0.1250 0.0873
N 0.8750 0.9623 0.5873
F 0.2500 0.7500 0.5000
F 0.5000 0.5000 0.0000
CELL_PARAMETERS angstrom
-2.7710 2.7710 3.2587
2.7710 -2.7710 3.2587
2.7710 2.7710 -3.2587
! Calculated density ... 4.18 Mg/m³
! Formation energy from raw total energies ... 5.3 eV per formula unit
! Energy above the most stable polymorph in this dataset ... 30.1 meV per atom
! SG ... I-42d, No. 122

5.
! PBE Ca2CdHPt, optimized geometry; values from VASP
&SYSTEM
  ibrav = 0, nat = 5, ntyp = 4
/
ATOMIC_SPECIES
Ca 40.08 Ca.upf
Cd 112.41 Cd.upf
H 1.01 H.upf
Pt 195.08 Pt.upf
ATOMIC_POSITIONS crystal
Ca 0.0000 0.5000 0.0000
Ca 0.5000 0.0000 0.0000
Cd 0.0000 0.0000 0.5000
H 0.5000 0.5000 0.0000
Pt 0.5000 0.5000 0.5000
CELL_PARAMETERS angstrom
5.0770 0.0000 0.0000
0.0000 5.0770 0.0000
0.0000 0.0000 3.8287
! Calculated density ... 6.54 Mg/m³
! SG ... P4/mmm, No. 123

6.
! PBE Rb2VH, optimized geometry; values from VASP
&SYSTEM
  ibrav = 0, nat = 4, ntyp = 3
/
ATOMIC_SPECIES
Rb 85.47 Rb.upf
V 50.94 V.upf
H 1.01 H.upf
ATOMIC_POSITIONS crystal
Rb 0.2500 0.2500 0.2500
Rb 0.7500 0.7500 0.7500
V 0.0000 0.0000 0.0000
H 0.5000 0.5000 0.5000
CELL_PARAMETERS angstrom
0.0000 4.3100 4.3100
4.3100 0.0000 4.3100
4.3100 4.3100 0.0000
! Calculated density ... 2.31 Mg/m³
! SG ... Fm-3m, No. 225

7.
! PBE BeAs2I, optimized geometry; values from VASP
&SYSTEM
  ibrav = 0, nat = 4, ntyp = 3
/
ATOMIC_SPECIES
Be 9.01 Be.upf
As 74.92 As.upf
I 126.90 I.upf
ATOMIC_POSITIONS crystal
Be 0.0000 0.0000 0.0000
As 0.2500 0.2500 0.2500
As 0.7500 0.7500 0.7500
I 0.5000 0.5000 0.5000
CELL_PARAMETERS angstrom
0.0000 3.4641 3.4641
3.4641 0.0000 3.4641
3.4641 3.4641 0.0000
! Calculated density ... 5.71 Mg/m³
! Formation energy from raw total energies ... 4.1 eV per formula unit
! Energy above the most stable polymorph in this dataset ... 626.9 meV per atom
! SG ... Fm-3m, No. 225

8.
! PBE Er2Tl3CrS6, optimized geometry; values from VASP
&SYSTEM
  ibrav = 0, nat = 12, ntyp = 4
/
ATOMIC_SPECIES
Er 167.26 Er.upf
Tl 204.38 Tl.upf
Cr 52.00 Cr.upf
S 32.06 S.upf
ATOMIC_POSITIONS crystal
Er 0.1664 0.8336 0.0000
Er 0.8336 0.1664 0.0000
Tl 0.0000 0.0000 0.5000
Tl 0.3262 0.6738 0.5000
Tl 0.6738 0.3262 0.5000
Cr 0.5000 0.5000 0.0000
S 0.1310 0.4378 0.8134
S 0.2569 0.2569 0.1946
S 0.4378 0.1310 0.8134
S 0.5622 0.8690 0.1866
S 0.7431 0.7431 0.8054
S 0.8690 0.5622 0.1866
CELL_PARAMETERS angstrom
3.3467 -5.7909 0.0000
3.3467 5.7909 0.0000
-2.2196 0.0000 7.4914
! Calculated density ... 6.82 Mg/m³
! Formation energy from raw total energies ... -13.7 eV per formula unit
! SG ... C2/m, No. 12

| no. | uncorrected energy (Ry/atom) |
| --- | --- |
| 1 | -0.2530 |
| 2 | -0.5071 |
| 3 | -0.2148 |
| 4 | -0.3061 |
| 5 | -0.2509 |
| 6 | -0.1818 |
| 7 | -0.1924 |
| 8 | -0.3940 |